A:
# V3RuF PBE with a Hubbard U relaxed
# - DOS(E_F) (states/eV/cell) = 2.4
data_V3RuF
_chemical_formula_sum 'V3 Ru1 F1'
_space_group_name_H-M_alt 'P 1'
_space_group_IT_number 1
_cell_length_a 4.2681
_cell_length_b 4.2681
_cell_length_c 4.2681
_cell_angle_alpha 90.00
_cell_angle_beta 90.00
_cell_angle_gamma 90.00
loop_
_space_group_symop_operation_xyz
'x,y,z'
loop_
_atom_site_label
_atom_site_type_symbol
_atom_site_fract_x
_atom_site_fract_y
_atom_site_fract_z
_atom_site_occupancy
V1 V 0.0000 0.0000 0.5000 1
V2 V 0.0000 0.5000 0.0000 1
V3 V 0.5000 0.0000 0.0000 1
Ru1 Ru 0.5000 0.5000 0.5000 1
F1 F 0.0000 0.0000 0.0000 1

---

B:
# V3RuF PBE with a Hubbard U relaxed
# - DOS(E_F) (states/eV/cell) = 3.4
data_V3RuF
_chemical_formula_sum 'V3 Ru1 F1'
_space_group_name_H-M_alt 'P 1'
_space_group_IT_number 1
_cell_length_a 4.8391
_cell_length_b 4.8391
_cell_length_c 4.8391
_cell_angle_alpha 90.00
_cell_angle_beta 90.00
_cell_angle_gamma 90.00
loop_
_space_group_symop_operation_xyz
'x,y,z'
loop_
_atom_site_label
_atom_site_type_symbol
_atom_site_fract_x
_atom_site_fract_y
_atom_site_fract_z
_atom_site_occupancy
V1 V 0.0000 0.0000 0.5000 1
V2 V 0.0000 0.5000 0.0000 1
V3 V 0.5000 0.0000 0.0000 1
Ru1 Ru 0.0000 0.0000 0.0000 1
F1 F 0.5000 0.5000 0.5000 1

---

Consider the structures shown above. The most stable of them is A.